Entry from OQMD via LeMat-Bulk: a geometry-optimized GdHo2Al3CuSn2 structure (PBE-GGA).

Values from the calculation:
For the final energy, the calculation gives -4.635 eV per atom.

The structure in CIF format:
```
data_GdHo2Al3CuSn2
_chemical_formula_sum 'Gd1 Ho2 Al3 Cu1 Sn2'
_symmetry_space_group_name_H-M 'P 1'
_symmetry_Int_Tables_number 1
_symmetry_space_group_name_Hall 'P 1'
_cell_length_a 4.2837
_cell_length_b 7.3016
_cell_length_c 7.3016
_cell_angle_alpha 120.25
_cell_angle_beta 90.00
_cell_angle_gamma 90.00
loop_
_atom_site_label
_atom_site_fract_x
_atom_site_fract_y
_atom_site_fract_z
Sn1 0.5000 0.6672 0.3308
Al1 0.5000 0.7777 0.0000
Cu1 0.0000 0.0039 0.0039
Sn2 0.5000 0.3308 0.6672
Ho1 0.0000 0.3864 0.9990
Al2 0.5000 0.0000 0.7777
Gd1 0.0000 0.6114 0.6114
Al3 0.5000 0.2238 0.2238
Ho2 0.0000 0.9990 0.3864
```